This record from Alexandria via LeMat-Bulk describes LaInSn3 after structural relaxation. The functional is PBE.

Calculated values
Total energy, eV/f.u.: -21.425
Symmetry: Pbcm
Excess energy over the best structure of this formula in the dataset, kJ per mole of atoms: 0.0
ΔE_f, eV/f.u.: -1.75
DOS(E_F), states/eV per cell: 11.298

a = 13.346 Å, b = 6.469 Å, c = 6.593 Å
α = 90.00°, β = 90.00°, γ = 90.00°
Positions (direct):
La 0.191 0.008 0.250
La 0.191 0.492 0.750
La 0.809 0.508 0.250
La 0.809 0.992 0.750
In 0.386 0.250 0.000
In 0.386 0.250 0.500
In 0.614 0.750 0.000
In 0.614 0.750 0.500
Sn 0.000 0.250 0.000
Sn 0.000 0.250 0.500
Sn 0.000 0.750 0.000
Sn 0.000 0.750 0.500
Sn 0.220 0.510 0.250
Sn 0.220 0.990 0.750
Sn 0.418 0.705 0.750
Sn 0.418 0.795 0.250
Sn 0.582 0.205 0.750
Sn 0.582 0.295 0.250
Sn 0.780 0.010 0.250
Sn 0.780 0.490 0.750


This record from Alexandria via LeMat-Bulk describes La2InSn after structural relaxation. The functional is PBE.

Calculated values
Total energy, eV/f.u.: -19.154
Symmetry: P4/mmm
ΔE_f, eV/f.u.: -2.56
DOS(E_F), states/eV per cell: 3.385

a = 5.162 Å, b = 5.162 Å, c = 4.551 Å
α = 90.00°, β = 90.00°, γ = 90.00°
Positions (direct):
La 0.000 0.500 0.000
La 0.500 0.000 0.000
In 0.000 0.000 0.500
Sn 0.500 0.500 0.500